[1]
Material: LiCd2In2Hg
Method: DFT, PBE
State: optimized geometry

Cell: 4.380 6.388 9.762 Å, 90.00 90.00 90.00°
Element x y z (fractional)
1 Li 0.500 0.133 0.654
2 Li 0.500 0.633 0.346
3 Cd 0.500 0.128 0.999
4 Cd 0.000 0.388 0.169
5 Cd 0.500 0.628 0.001
6 Cd 0.000 0.888 0.831
7 In 0.000 0.367 0.826
8 In 0.500 0.133 0.336
9 In 0.000 0.867 0.174
10 In 0.500 0.633 0.664
11 Hg 0.000 0.896 0.510
12 Hg 0.000 0.396 0.490

Calculated values
Space-group type   Pmc2_1, No. 26
E_form   -93 meV per atom
Total energy   -20.2 eV/cell

***

[2]
Material: Sm2Cd2In
Method: DFT, PBE
State: optimized geometry

Cell: 7.704 7.704 6.053 Å, 47.18 47.18 35.53°
Element x y z (fractional)
1 Sm 0.713 0.713 0.805
2 Sm 0.287 0.287 0.195
3 Cd 0.414 0.414 0.466
4 Cd 0.586 0.586 0.534
5 In 0.000 0.000 0.000

Calculated values
Space-group type   C2/m, No. 12
E_form   -199 meV per atom
Total energy   -15.0 eV/cell
Excess energy over the best structure of this formula in the dataset   0.139 eV/atom

***

[3]
Material: Rb2Dy2CrS6
Method: DFT, PBE
State: optimized geometry

Cell: 6.609 6.609 8.214 Å, 98.27 98.27 119.08°
Element x y z (fractional)
1 Rb 0.827 0.173 0.000
2 Rb 0.173 0.827 0.000
3 Dy 0.333 0.667 0.500
4 Dy 0.667 0.333 0.500
5 Cr 0.000 0.000 0.500
6 S 0.764 0.764 0.680
7 S 0.065 0.366 0.682
8 S 0.236 0.236 0.320
9 S 0.366 0.065 0.682
10 S 0.935 0.634 0.318
11 S 0.634 0.935 0.318

Calculated values
Space-group type   C2/m, No. 12
Total energy   -61.1 eV/cell
Energy relative to the elements, uncorrected   -1412 meV/atom

***

Number 1: total moment 0.0 Bohr magnetons per cell, calculated volume 22.765 Å³/atom. Number 2: total moment 0.0 Bohr magnetons per cell, calculated volume 29.243 Å³/atom. Number 3: total moment 2.0 Bohr magnetons per cell, calculated volume 27.330 Å³/atom.